## Nb2PdRh4 (PBE-GGA)

Data for Nb2PdRh4 after structural relaxation.

Results
As for the theoretical density: 10.16 Mg/m³. The calculation puts the spin magnetization at 0.000 μB/cell. Its energy relative to the elements is -0.0085 eV/atom. For the distance to the lowest polymorph of the same formula, the calculation gives 0.131 eV per atom.

POSCAR file:
```
Nb2PdRh4
1.0
-3.455 -0.754 -0.148
0.680 -2.685 -2.204
2.315 -3.933 8.349
Nb Pd Rh
2 1 4
Cartesian
-1.225 -2.708 0.079
0.765 -4.664 5.919
0.000 0.000 0.000
0.263 -1.605 2.036
-0.723 -5.768 3.961
-1.264 -3.203 3.513
0.804 -4.169 2.485
```

## LaLu2Ir (PBE-GGA)

Data for LaLu2Ir after structural relaxation.

Results
As for the theoretical density: 10.80 Mg/m³. The calculation puts the spin magnetization at 0.000 μB/cell. Its energy relative to the elements is -0.5074 eV/atom.

POSCAR file:
```
LaLu2Ir
1.0
3.433 0.000 0.000
0.000 3.433 0.000
0.000 0.000 8.883
Ir Lu La
1 2 1
Cartesian
1.716 1.716 0.000
0.000 0.000 7.289
0.000 0.000 1.593
1.716 1.716 4.441
```

## CsTb2Cl7 (PBE-GGA)

Data for CsTb2Cl7 after structural relaxation.

Results
As for the theoretical density: 3.65 Mg/m³. The value obtained for the uncorrected formation energy is -2.2482 eV/atom. The calculation puts the spin magnetization at 0.000 μB/cell. For the distance to the lowest polymorph of the same formula, the calculation gives 0.035 eV per atom.

POSCAR file:
```
CsTb2Cl7
1.0
5.355 0.000 0.000
0.000 8.161 -0.061
0.000 -3.655 7.297
Cs Tb Cl
1 2 7
Cartesian
0.000 0.000 0.000
2.678 4.567 2.177
2.678 -0.062 5.059
0.000 4.651 2.125
0.000 -0.145 5.111
2.678 -0.830 2.406
2.678 5.336 4.829
2.678 2.526 0.317
2.678 1.980 6.919
2.678 2.253 3.618
```

## CrGeAsBr2 (PBE-GGA)

Data for CrGeAsBr2 after structural relaxation.

Results
As for the theoretical density: 4.16 Mg/m³. The value obtained for the uncorrected formation energy is 0.5257 eV/atom. The calculation puts the spin magnetization at 3.524 μB/cell. For the distance to the lowest polymorph of the same formula, the calculation gives 0.273 eV per atom.

POSCAR file:
```
CrGeAsBr2
1.0
-0.933 4.602 -2.330
0.246 -2.326 -4.692
-5.131 -0.940 0.197
Cr As Ge Br
1 1 1 2
Cartesian
-2.909 0.668 -3.412
-2.565 -0.470 0.099
0.000 0.000 0.000
0.123 -1.163 -2.346
-0.466 2.301 -1.165
```

## Zn2InRe (PBE-GGA)

Data for Zn2InRe after structural relaxation.

Results
As for the theoretical density: 10.47 Mg/m³. The calculation puts the spin magnetization at 0.000 μB/cell. Its energy relative to the elements is 0.3233 eV/atom.

POSCAR file:
```
Zn2InRe
1.0
5.443 0.055 0.053
4.723 2.706 0.053
0.674 0.183 4.741
In Re Zn
1 1 2
Cartesian
5.679 1.542 2.222
2.952 0.802 1.357
10.427 2.832 4.718
8.044 2.184 3.821
```

## NaBi3Ir (PBE-GGA)

Data for NaBi3Ir after structural relaxation.

Results
As for the theoretical density: 8.58 Mg/m³. The calculation puts the spin magnetization at 0.000 μB/cell. Its energy relative to the elements is 0.2943 eV/atom. For the distance to the lowest polymorph of the same formula, the calculation gives 0.323 eV per atom.

POSCAR file:
```
NaBi3Ir
1.0
5.463 0.000 0.000
0.000 5.463 0.000
0.000 0.000 5.463
Na Ir Bi
1 1 3
Cartesian
2.731 2.731 2.731
0.000 0.000 0.000
0.000 2.731 0.000
0.000 0.000 2.731
2.731 0.000 0.000
```

## Al2AgHgTe4 (PBE-GGA)

Data for Al2AgHgTe4 after structural relaxation.

Results
As for the theoretical density: 5.43 Mg/m³. The value obtained for the uncorrected formation energy is -0.2118 eV/atom. The calculation puts the spin magnetization at 0.000 μB/cell.

POSCAR file:
```
Al2AgHgTe4
1.0
-3.881 1.602 4.937
-3.657 -5.032 -1.818
7.103 -2.102 2.300
Al Ag Hg Te
2 1 1 4
Cartesian
-0.232 -1.155 4.446
-0.121 -4.471 1.068
-3.725 -1.765 1.610
0.002 -0.002 0.002
0.581 -3.586 3.541
-2.849 -4.343 0.893
-2.959 -1.068 4.228
4.232 -1.925 2.030
```

## Pm2Si4Os5 (PBE-GGA)

Data for Pm2Si4Os5 after structural relaxation.

Results
As for the theoretical density: 11.68 Mg/m³. The value obtained for the uncorrected formation energy is -0.5101 eV/atom. The calculation puts the spin magnetization at 0.000 μB/cell.

POSCAR file:
```
Pm2Si4Os5
1.0
5.862 0.000 0.000
2.931 5.060 0.000
2.931 0.000 6.488
Pm Si Os
2 4 5
Cartesian
5.862 0.000 1.671
2.931 0.000 4.817
5.862 1.507 4.736
5.862 3.553 1.752
2.931 1.507 1.752
8.794 3.553 4.736
2.931 0.000 0.000
1.466 2.530 0.000
4.397 2.530 0.000
4.397 2.530 3.244
7.328 2.530 3.244
```

## La2CdHPd (PBE-GGA)

Data for La2CdHPd after structural relaxation.

Results
As for the theoretical density: 7.35 Mg/m³. The calculation puts the spin magnetization at 0.000 μB/cell. For the distance to the lowest polymorph of the same formula, the calculation gives 0.000 eV per atom.

POSCAR file:
```
La2CdHPd
1.0
5.402 0.000 0.000
0.000 5.402 0.000
0.000 0.000 3.852
H Cd Pd La
1 1 1 2
Cartesian
0.000 0.000 0.000
2.701 2.701 1.926
0.000 0.000 1.926
0.000 2.701 0.000
2.701 0.000 0.000
```

## CaLa2Ag2 (PBE-GGA)

Data for CaLa2Ag2 after structural relaxation.

Results
As for the theoretical density: 5.35 Mg/m³. The calculation puts the spin magnetization at 0.000 μB/cell. Its energy relative to the elements is 0.0797 eV/atom. For the distance to the lowest polymorph of the same formula, the calculation gives 0.298 eV per atom.

POSCAR file:
```
CaLa2Ag2
1.0
5.474 0.000 0.000
0.000 5.474 0.000
2.737 2.737 5.531
Ca Ag La
1 2 2
Cartesian
0.000 0.000 0.000
5.474 2.737 2.765
2.737 5.474 2.765
2.737 2.737 1.497
5.474 5.474 4.034
```

## Cs4K2Cl (PBE-GGA)

Data for Cs4K2Cl after structural relaxation.

Results
As for the theoretical density: 1.87 Mg/m³. The value obtained for the uncorrected formation energy is -0.5211 eV/atom. The calculation puts the spin magnetization at 0.000 μB/cell.

POSCAR file:
```
Cs4K2Cl
1.0
5.048 0.000 -0.952
-0.553 8.460 -2.933
-0.070 -0.169 13.483
Cs K Cl
4 2 1
Cartesian
0.214 3.358 1.135
4.210 4.933 8.463
2.013 0.587 10.667
2.412 7.704 -1.069
1.098 1.974 5.821
3.326 6.317 3.777
0.000 0.000 0.000
```

## Sm2DyTl2 (PBE-GGA)

Data for Sm2DyTl2 after structural relaxation.

Results
As for the theoretical density: 9.86 Mg/m³. The calculation puts the spin magnetization at 0.000 μB/cell. Its energy relative to the elements is -0.2875 eV/atom. For the distance to the lowest polymorph of the same formula, the calculation gives 0.000 eV per atom.

POSCAR file:
```
Sm2DyTl2
1.0
3.762 0.000 -0.505
0.000 5.431 0.000
0.007 0.000 14.372
Sm Dy Tl
4 2 4
Cartesian
0.184 4.073 1.370
3.586 1.358 12.497
0.901 4.073 6.713
2.869 1.358 7.153
3.211 4.073 9.656
0.559 1.358 4.210
2.424 4.073 3.827
1.346 1.358 10.040
1.696 4.073 12.685
2.074 1.358 1.182
```

## K3Zr (PBE-GGA)

Data for K3Zr after structural relaxation.

Results
As for the theoretical density: 1.71 Mg/m³. The calculation puts the spin magnetization at 3.515 μB/cell. Its energy relative to the elements is 0.9711 eV/atom. For the distance to the lowest polymorph of the same formula, the calculation gives 0.411 eV per atom.

POSCAR file:
```
K3Zr
1.0
5.877 0.000 0.000
0.000 5.877 0.000
0.000 0.000 5.877
K Zr
3 1
Cartesian
0.000 2.938 2.938
2.938 0.000 2.938
2.938 2.938 0.000
0.000 0.000 0.000
```